Zr3TaTe: relaxed, PBE.

The uncorrected formation energy comes out at 0.75 eV/atom. The magnetization comes out at 0.1689 μB per atom. The density of states at the Fermi level comes out at 8.333 states/eV/f.u. The calculation puts the total energy at -7.380 eV/atom. The calculation puts the excess energy over the best structure of this formula in the dataset at 0 meV per atom.

Cell lengths 5.156, 5.156, 5.156 Å; angles 90.00, 90.00, 90.00 degrees
Element x y z (fractional)
Zr (0.000, 0.000, 0.500)
Zr (0.000, 0.500, 0.000)
Zr (0.500, 0.000, 0.000)
Ta (0.000, 0.000, 0.000)
Te (0.500, 0.500, 0.500)